BaNdSn PBE-GGA optimized geometry; final energy = -4.128 eV/atom; symmetry = P4/nmm (129)
1.0
5.143 0.000 0.000
0.000 5.143 0.000
0.000 0.000 8.932
Ba Nd Sn
2 2 2
direct
0.250 0.250 0.144 Ba
0.750 0.750 0.856 Ba
0.250 0.750 0.500 Nd
0.750 0.250 0.500 Nd
0.250 0.250 0.734 Sn
0.750 0.750 0.266 Sn

Ac5HgGe2 PBE-GGA optimized geometry; final energy = -4.263 eV/atom; symmetry = I4/mcm (140)
1.0
-4.204 4.204 7.837
4.204 -4.204 7.837
4.204 4.204 -7.837
Ac Hg Ge
10 2 4
direct
0.000 0.000 0.000 Ac
0.028 0.528 0.839 Ac
0.189 0.028 0.500 Ac
0.311 0.811 0.839 Ac
0.472 0.311 0.500 Ac
0.500 0.500 0.000 Ac
0.528 0.689 0.500 Ac
0.689 0.189 0.161 Ac
0.811 0.972 0.500 Ac
0.972 0.472 0.161 Ac
0.250 0.250 0.000 Hg
0.750 0.750 0.000 Hg
0.129 0.371 0.500 Ge
0.371 0.871 0.242 Ge
0.629 0.129 0.758 Ge
0.871 0.629 0.500 Ge

Tb2ScCu4 PBE-GGA optimized geometry; final energy = -4.600 eV/atom; symmetry = I4/mmm (139)
1.0
-2.485 2.485 5.754
2.485 -2.485 5.754
2.485 2.485 -5.754
Tb Sc Cu
2 1 4
direct
0.214 0.214 0.000 Tb
0.786 0.786 0.000 Tb
0.500 0.500 0.000 Sc
0.110 0.610 0.500 Cu
0.390 0.890 0.500 Cu
0.610 0.110 0.500 Cu
0.890 0.390 0.500 Cu

Cd3Au4 PBE-GGA optimized geometry; symmetry = I4/mmm (139); energy relative to the lowest polymorph listed for this composition = 0.045 eV/atom
1.0
-1.812 1.812 10.386
1.812 -1.812 10.386
1.812 1.812 -10.386
Cd Au
3 4
direct
0.000 0.000 0.000 Cd
0.290 0.290 0.000 Cd
0.710 0.710 0.000 Cd
0.144 0.144 0.000 Au
0.430 0.430 0.000 Au
0.570 0.570 0.000 Au
0.856 0.856 0.000 Au

NaHg2F PBE-GGA optimized geometry; symmetry = R-3m (166); energy relative to the lowest polymorph listed for this composition = 0.432 eV/atom; ΔE_f (raw) = -650 meV per atom
1.0
1.906 1.100 8.884
-1.906 1.100 8.884
0.000 -2.200 8.884
Na Hg F
1 2 1
direct
0.000 0.000 0.000 Na
0.104 0.104 0.104 Hg
0.896 0.896 0.896 Hg
0.500 0.500 0.500 F

Cd2ReP PBE-GGA optimized geometry; final energy = -4.621 eV/atom; symmetry = Pm (6)
1.0
3.690 0.000 0.000
0.000 3.903 0.000
-1.836 0.000 5.229
Cd Re P
2 1 1
direct
0.000 0.000 0.000 Cd
0.337 0.500 0.675 Cd
0.724 0.000 0.449 Re
0.614 0.500 0.226 P

LaCeLu PBE-GGA optimized geometry; symmetry = I4mm (107); energy relative to the lowest polymorph listed for this composition = 0.104 eV/atom
1.0
-2.078 2.078 5.657
2.078 -2.078 5.657
2.078 2.078 -5.657
La Ce Lu
1 1 1
direct
0.000 0.000 0.000 La
0.684 0.684 0.000 Ce
0.333 0.333 0.000 Lu

Cs2TeRh PBE-GGA optimized geometry; symmetry = Fm-3m (225); energy relative to the lowest polymorph listed for this composition = 0.625 eV/atom; ΔE_f (raw) = 352 meV per atom
1.0
0.000 4.388 4.388
4.388 0.000 4.388
4.388 4.388 0.000
Cs Te Rh
2 1 1
direct
0.250 0.250 0.250 Cs
0.750 0.750 0.750 Cs
0.000 0.000 0.000 Te
0.500 0.500 0.500 Rh